Entry 1:
An optimized crystal structure of KTl2Rh, computed with PBE.

Cell lengths 3.378, 4.211, 8.393 Å; angles 90.00, 90.00, 90.00 degrees
Fractional coordinates of all 4 atoms:
Tl 0.500 0.500 0.202
Tl 0.000 0.000 0.909
K 0.000 0.000 0.514
Rh 0.500 0.500 0.874

Computed properties:
Magnetic moment (μB/cell): 0.00
Density of states at the Fermi level (states/eV/f.u.): 1.942
Calculated total energy (eV/cell): -12.88

---

Entry 2:
An optimized crystal structure of SrZrAu2, computed with PBE.

Cell lengths 5.238, 5.238, 3.389 Å; angles 90.00, 90.00, 90.02 degrees
Fractional coordinates of all 4 atoms:
Sr 0.500 0.000 0.500
Au 0.000 0.000 0.000
Au 0.500 0.500 0.000
Zr 0.000 0.500 0.500

Computed properties:
Magnetic moment (μB/cell): 0.30
Density of states at the Fermi level (states/eV/f.u.): 3.649
Calculated total energy (eV/cell): -18.54

---

Entry 3:
An optimized crystal structure of PRuSe2, computed with PBE.

Cell lengths 6.259, 6.259, 6.302 Å; angles 60.22, 60.22, 90.00 degrees
Fractional coordinates of all 8 atoms:
Se 0.650 0.125 0.250
Se 0.375 0.350 0.750
Se 0.875 0.900 0.750
Se 0.100 0.625 0.250
Ru 0.750 0.250 0.500
Ru 0.000 0.000 0.000
P 0.500 0.500 0.000
P 0.250 0.750 0.500

Computed properties:
Magnetic moment (μB/cell): 0.00
Density of states at the Fermi level (states/eV/f.u.): 2.850
Energy relative to the elements, uncorrected (eV per atom): 0.37
Calculated total energy (eV/cell): -40.32

---

Entry 4:
An optimized crystal structure of Tc3IN, computed with PBE.

Cell lengths 4.179, 4.179, 4.179 Å; angles 90.00, 90.00, 90.00 degrees
Fractional coordinates of all 5 atoms:
Tc 0.000 0.000 0.500
Tc 0.500 0.000 0.000
Tc 0.000 0.500 0.000
I 0.500 0.500 0.500
N 0.000 0.000 0.000

Computed properties:
Magnetic moment (μB/cell): 0.00
Density of states at the Fermi level (states/eV/f.u.): 3.590
Energy relative to the elements, uncorrected (eV per atom): 0.68
Calculated total energy (eV/cell): -37.55

---

Entry 5:
An optimized crystal structure of HfRhI2O, computed with PBE.

Cell lengths 5.619, 5.619, 3.701 Å; angles 90.00, 90.00, 90.00 degrees
Fractional coordinates of all 5 atoms:
Hf 0.500 0.500 0.500
O 0.000 0.000 0.500
I 0.500 0.000 0.000
I 0.000 0.500 0.000
Rh 0.000 0.000 0.000

Computed properties:
Magnetic moment (μB/cell): 1.05
Density of states at the Fermi level (states/eV/f.u.): 5.985
Energy relative to the elements, uncorrected (eV per atom): 0.17
Calculated total energy (eV/cell): -24.49

---

Entry 6:
An optimized crystal structure of Cs2PuB2Se6, computed with PBE.

Cell lengths 7.304, 7.304, 8.744 Å; angles 65.32, 65.32, 60.00 degrees
Fractional coordinates of all 11 atoms:
Se 0.746 0.283 0.225
Se 0.254 0.717 0.775
Se 0.283 0.746 0.225
Se 0.717 0.254 0.775
Se 0.746 0.746 0.225
Se 0.254 0.254 0.775
B 0.402 0.402 0.793
B 0.598 0.598 0.207
Cs 0.223 0.223 0.330
Cs 0.777 0.777 0.670
Pu 0.000 0.000 0.000

Computed properties:
Magnetic moment (μB/cell): 4.03
Density of states at the Fermi level (states/eV/f.u.): 7.861
Energy relative to the elements, uncorrected (eV per atom): -0.72
Calculated total energy (eV/cell): -58.17